(1)
# Ca3H12Pt5 (GGA-PBE, relaxed)
# Electronic total energy (eV/atom): -4.132
# Spin magnetization (μB/f.u.): 0.0
data_Ca3H12Pt5
_symmetry_space_group_name_H-M 'P 1'
_symmetry_Int_Tables_number 1
_cell_length_a 10.356
_cell_length_b 10.356
_cell_length_c 10.356
_cell_angle_alpha 109.47
_cell_angle_beta 109.47
_cell_angle_gamma 109.47
loop_
_symmetry_equiv_pos_as_xyz
'x,y,z'
loop_
_atom_site_label
_atom_site_type_symbol
_atom_site_fract_x
_atom_site_fract_y
_atom_site_fract_z
Pt1 Pt 0.125 0.750 0.375
Pt2 Pt 0.500 0.000 0.500
Pt3 Pt 0.750 0.625 0.375
Pt4 Pt 0.875 0.250 0.625
Pt5 Pt 0.625 0.750 0.875
Pt6 Pt 0.500 0.500 0.500
Pt7 Pt 0.125 0.375 0.250
Pt8 Pt 0.875 0.625 0.750
Pt9 Pt 0.250 0.375 0.625
Pt10 Pt 0.000 0.000 0.500
Pt11 Pt 0.375 0.125 0.750
Pt12 Pt 0.750 0.125 0.875
Pt13 Pt 0.000 0.500 0.500
Pt14 Pt 0.000 0.000 0.000
Pt15 Pt 0.000 0.500 0.000
Pt16 Pt 0.250 0.875 0.125
Pt17 Pt 0.500 0.500 0.000
Pt18 Pt 0.375 0.250 0.125
Pt19 Pt 0.625 0.875 0.250
Pt20 Pt 0.500 0.000 0.000
Ca1 Ca 0.375 0.750 0.625
Ca2 Ca 0.625 0.250 0.375
Ca3 Ca 0.250 0.125 0.375
Ca4 Ca 0.750 0.875 0.625
Ca5 Ca 0.125 0.875 0.750
Ca6 Ca 0.375 0.625 0.250
Ca7 Ca 0.875 0.125 0.250
Ca8 Ca 0.625 0.375 0.750
Ca9 Ca 0.250 0.625 0.875
Ca10 Ca 0.125 0.250 0.875
Ca11 Ca 0.875 0.750 0.125
Ca12 Ca 0.750 0.375 0.125
H1 H 0.094 0.176 0.494
H2 H 0.176 0.082 0.682
H3 H 0.182 0.506 0.601
H4 H 0.399 0.994 0.818
H5 H 0.601 0.594 0.918
H6 H 0.318 0.418 0.824
H7 H 0.682 0.582 0.176
H8 H 0.899 0.582 0.906
H9 H 0.101 0.418 0.094
H10 H 0.418 0.101 0.594
H11 H 0.176 0.094 0.994
H12 H 0.582 0.899 0.406
H13 H 0.324 0.818 0.418
H14 H 0.994 0.594 0.176
H15 H 0.182 0.676 0.082
H16 H 0.594 0.994 0.676
H17 H 0.418 0.318 0.324
H18 H 0.094 0.918 0.101
H19 H 0.906 0.082 0.899
H20 H 0.818 0.494 0.399
H21 H 0.506 0.182 0.101
H22 H 0.906 0.824 0.506
H23 H 0.601 0.006 0.182
H24 H 0.082 0.906 0.399
H25 H 0.582 0.682 0.676
H26 H 0.918 0.094 0.601
H27 H 0.406 0.006 0.324
H28 H 0.399 0.406 0.082
H29 H 0.324 0.506 0.406
H30 H 0.918 0.824 0.818
H31 H 0.676 0.182 0.582
H32 H 0.818 0.324 0.918
H33 H 0.994 0.399 0.318
H34 H 0.494 0.676 0.094
H35 H 0.594 0.601 0.418
H36 H 0.824 0.906 0.006
H37 H 0.006 0.406 0.824
H38 H 0.494 0.818 0.899
H39 H 0.006 0.601 0.682
H40 H 0.082 0.176 0.182
H41 H 0.506 0.324 0.906
H42 H 0.824 0.918 0.318
H43 H 0.406 0.399 0.582
H44 H 0.318 0.899 0.994
H45 H 0.899 0.318 0.494
H46 H 0.101 0.682 0.506
H47 H 0.676 0.494 0.594
H48 H 0.682 0.101 0.006

=====

(2)
# Sm2Y3ErSb6 (GGA-PBE, relaxed)
# Spin magnetization (μB/f.u.): 0.0
# Formation energy from raw total energies (eV/atom): -1.1550
data_Sm2Y3ErSb6
_symmetry_space_group_name_H-M 'P 1'
_symmetry_Int_Tables_number 1
_cell_length_a 7.644
_cell_length_b 7.644
_cell_length_c 7.639
_cell_angle_alpha 99.60
_cell_angle_beta 99.60
_cell_angle_gamma 120.01
loop_
_symmetry_equiv_pos_as_xyz
'x,y,z'
loop_
_atom_site_label
_atom_site_type_symbol
_atom_site_fract_x
_atom_site_fract_y
_atom_site_fract_z
Y1 Y 0.831 0.169 0.500
Y2 Y 0.500 0.500 0.500
Y3 Y 0.169 0.831 0.500
Sm1 Sm 0.334 0.666 0.000
Sm2 Sm 0.666 0.334 0.000
Sb1 Sb 0.587 0.916 0.748
Sb2 Sb 0.413 0.084 0.252
Sb3 Sb 0.916 0.587 0.748
Sb4 Sb 0.084 0.413 0.252
Sb5 Sb 0.244 0.244 0.746
Sb6 Sb 0.756 0.756 0.254
Er1 Er 0.000 0.000 0.000